# 1
8
Lattice="-3.5381 1.6646 -9.3173 8.0276 -4.7417 -3.8955 0.3467 -4.8570 -6.4785" Properties=species:S:1:pos:R:3 comment="KSr2Ga | Alexandria | GGA-PBE | relaxed" formation_enthalpy_0k_ev_per_atom=0.065 total_magnetization_mub_per_atom=0.000 rho_g_cm3=2.4 dos_at_fermi_per_ev_fu=2.43 pbc="T T T"
Sr -1.4401 -0.6166 -8.7697
Sr 4.9806 -4.1198 -4.3792
Sr 1.2201 -4.3693 -9.4626
Sr 4.9119 -6.7626 -16.7712
K 2.2448 -1.5385 -6.6064
K 5.3096 -5.5686 -8.4902
Ga 0.0000 0.0000 0.0000
Ga -0.4733 -2.3655 -11.2011

# 2
5
Lattice="-4.6046 -2.9354 2.1030 0.5351 -3.9250 -4.3069 1.8421 -6.9008 2.5425" Properties=species:S:1:pos:R:3 comment="KSr2Ga2 | Alexandria | GGA-PBE | relaxed" relative_energy_mev_per_atom=272 formation_enthalpy_0k_ev_per_atom=0.082 total_magnetization_mub_per_atom=0.000 rho_g_cm3=2.7 dos_at_fermi_per_ev_fu=4.89 pbc="T T T"
Sr -0.8163 -4.5209 0.0434
Sr -1.4110 -9.2402 0.2952
K 0.0000 0.0000 0.0000
Ga -2.3986 -6.6331 1.7718
Ga 0.1712 -7.1280 -1.4332

# 3
5
Lattice="5.9947 0.0000 0.0000 0.0000 5.9947 0.0000 0.0000 0.0000 5.9947" Properties=species:S:1:pos:R:3 comment="KSrGa3 | Alexandria | GGA-PBE | relaxed" relative_energy_mev_per_atom=0 formation_enthalpy_0k_ev_per_atom=0.512 total_magnetization_mub_per_atom=0.000 rho_g_cm3=2.6 dos_at_fermi_per_ev_fu=8.10 pbc="T T T"
Sr 0.0000 0.0000 0.0000
K 2.9973 2.9973 2.9973
Ga 0.0000 2.9973 0.0000
Ga 0.0000 0.0000 2.9973
Ga 2.9973 0.0000 0.0000

# 4
5
Lattice="5.6614 0.0000 0.0000 0.0000 5.6614 0.0000 0.0000 0.0000 5.6614" Properties=species:S:1:pos:R:3 comment="KSrGa3 | Alexandria | GGA-PBE | relaxed" relative_energy_mev_per_atom=77 formation_enthalpy_0k_ev_per_atom=0.588 total_magnetization_mub_per_atom=0.000 rho_g_cm3=3.1 dos_at_fermi_per_ev_fu=5.97 pbc="T T T"
Sr 2.8307 2.8307 2.8307
K 0.0000 0.0000 0.0000
Ga 0.0000 2.8307 0.0000
Ga 0.0000 0.0000 2.8307
Ga 2.8307 0.0000 0.0000

# 5
10
Lattice="9.4902 0.0000 0.0000 0.0000 9.4902 0.0000 0.0000 0.0000 3.7649" Properties=species:S:1:pos:R:3 comment="KSr2Ga2 | Alexandria | GGA-PBE | relaxed" relative_energy_mev_per_atom=54 formation_enthalpy_0k_ev_per_atom=-0.136 total_magnetization_mub_per_atom=0.000 rho_g_cm3=3.5 dos_at_fermi_per_ev_fu=2.15 pbc="T T T"
Sr 3.3916 8.1367 0.0000
Sr 8.1367 6.0986 0.0000
Sr 6.0986 1.3535 0.0000
Sr 1.3535 3.3916 0.0000
K 0.0000 0.0000 0.0000
K 4.7451 4.7451 0.0000
Ga 1.4304 6.1755 1.8825
Ga 6.1755 8.0598 1.8825
Ga 8.0598 3.3147 1.8825
Ga 3.3147 1.4304 1.8825

# 6
4
Lattice="-3.1401 2.9664 -0.6047 -2.8369 0.8563 3.2007 5.2448 9.7790 5.0048" Properties=species:S:1:pos:R:3 comment="KSr2Ga | Alexandria | GGA-PBE | relaxed" formation_enthalpy_0k_ev_per_atom=-0.077 total_magnetization_mub_per_atom=0.000 rho_g_cm3=2.4 dos_at_fermi_per_ev_fu=2.57 pbc="T T T"
Sr 0.0215 10.8719 6.0270
Sr -0.7538 2.7297 1.5738
K -0.3661 6.8008 3.8004
Ga 0.0000 0.0000 0.0000

# 7
5
Lattice="-3.8950 3.0494 0.1421 -3.0361 -3.8936 0.3341 0.3176 0.1758 4.9354" Properties=species:S:1:pos:R:3 comment="KTa3Ga | Alexandria | GGA-PBE | relaxed" relative_energy_mev_per_atom=0 formation_enthalpy_0k_ev_per_atom=1.684 total_magnetization_mub_per_atom=0.000 rho_g_cm3=8.9 dos_at_fermi_per_ev_fu=6.64 pbc="T T T"
K -3.3067 -0.3343 2.7058
Ga 0.0000 0.0000 0.0000
Ta -1.5180 -1.9468 0.1670
Ta 0.1588 0.0879 2.4677
Ta -1.9475 1.5247 0.0710

# 8
5
Lattice="-3.7873 -2.3780 -1.2066 1.4970 -0.1615 -4.3804 2.2068 -3.9716 0.9006" Properties=species:S:1:pos:R:3 comment="KTa3Ga | Alexandria | GGA-PBE | relaxed" relative_energy_mev_per_atom=1196 formation_enthalpy_0k_ev_per_atom=2.880 total_magnetization_mub_per_atom=0.000 rho_g_cm3=10.9 dos_at_fermi_per_ev_fu=5.46 pbc="T T T"
K 0.0000 0.0000 0.0000
Ga -0.0418 -3.2556 -2.3432
Ta 0.7485 -0.0808 -2.1902
Ta 1.1034 -1.9858 0.4503
Ta -1.8937 -1.1890 -0.6033